BePb2C at its PBEsol-relaxed geometry. Source: the Alexandria database, functional SCAN.

Results
The calculation puts the formation energy at 4.62 eV/f.u. The calculation puts the total magnetization at 0.00 μB per atom. The value obtained for the theoretical density is 8.6 g/cm3.

Unit cell a=5.736 b=5.736 c=10.193 alpha=90.00 beta=90.00 gamma=90.00
Space group I-42d (No. 122)
Unique sites:
Be 0.000 0.000 0.000
Pb 0.221 0.250 0.625
C 0.000 0.000 0.500